1.
Below is an optimized crystal structure of CrRe3Cl, with properties calculated at the PBE level.

energy relative to the elements, uncorrected	1868	meV per atom

Cell and atoms, written as POSCAR:
```
CrRe3Cl
1.0
-0.956 3.256 -2.646
-1.733 -2.778 -2.793
-3.821 0.445 1.928
Re Cr Cl
3 1 1
Direct
0.000 0.000 0.500
0.500 0.000 0.000
0.000 0.500 0.000
0.500 0.500 0.500
0.000 0.000 0.000
```

=====

2.
Below is an optimized crystal structure of CrReCl2, with properties calculated at the PBE level.

energy relative to the elements, uncorrected	1043	meV per atom

Cell and atoms, written as POSCAR:
```
CrReCl2
1.0
4.590 -0.484 0.000
0.608 4.575 0.000
-2.599 -2.045 3.219
Cr Re Cl
1 1 2
Direct
0.500 0.500 0.000
0.750 0.250 0.500
0.250 0.750 0.500
0.000 0.000 0.000
```

=====

3.
Below is an optimized crystal structure of CrReCl2, with properties calculated at the PBE level.

energy relative to the elements, uncorrected	949	meV per atom

Cell and atoms, written as POSCAR:
```
CrReCl2
1.0
-2.372 -0.449 -1.441
1.509 -0.781 -2.240
-0.161 -10.030 3.390
Re Cl Cr
1 2 1
Direct
0.500 0.500 0.750
0.000 0.000 0.393
0.000 0.000 0.107
0.500 0.500 0.250
```

=====

4.
Below is an optimized crystal structure of CrReCl2, with properties calculated at the PBE level.

energy relative to the elements, uncorrected	1015	meV per atom

Cell and atoms, written as POSCAR:
```
CrReCl2
1.0
4.418 0.000 0.000
0.000 4.418 0.000
0.000 0.000 3.166
Cl Cr Re
2 1 1
Direct
0.500 0.500 0.000
0.000 0.000 0.000
0.500 0.000 0.500
0.000 0.500 0.500
```

=====

5.
Below is an optimized crystal structure of CrRe3Cl, with properties calculated at the PBE level.

energy relative to the elements, uncorrected	2151	meV per atom

Cell and atoms, written as POSCAR:
```
CrRe3Cl
1.0
4.523 0.000 0.000
0.000 4.523 0.000
0.000 0.000 4.523
Re Cr Cl
3 1 1
Direct
0.000 0.500 0.000
0.500 0.000 0.000
0.000 0.000 0.500
0.000 0.000 0.000
0.500 0.500 0.500
```

=====

6.
Below is an optimized crystal structure of CrReCl, with properties calculated at the PBE level.

energy relative to the elements, uncorrected	63	meV per atom

Cell and atoms, written as POSCAR:
```
CrReCl
1.0
3.060 0.024 0.002
-0.171 4.352 0.012
-0.765 -1.901 8.715
Re Cl Cr
2 2 2
Direct
0.566 0.201 0.979
0.077 0.690 0.978
0.688 0.196 0.404
0.268 0.840 0.736
0.161 0.318 0.208
0.616 0.779 0.197
```

=====

7.
Below is an optimized crystal structure of CrReCl2, with properties calculated at the PBE level.

energy relative to the elements, uncorrected	-129	meV per atom

Cell and atoms, written as POSCAR:
```
CrReCl2
1.0
-0.012 1.258 2.585
-3.159 -0.383 0.172
1.149 -7.776 3.792
Re Cl Cr
1 2 1
Direct
0.500 0.875 0.701
0.000 0.875 0.921
0.500 0.375 0.338
0.000 0.375 0.541
```

=====

8.
Below is an optimized crystal structure of CrReCl2, with properties calculated at the PBE level.

energy relative to the elements, uncorrected	10	meV per atom

Cell and atoms, written as POSCAR:
```
CrReCl2
1.0
9.294 -0.005 -0.003
8.786 3.029 -0.003
8.786 1.469 2.649
Cr Cl Re
1 2 1
Direct
0.494 0.494 0.494
0.025 0.025 0.025
0.222 0.222 0.222
0.760 0.760 0.760
```

=====

9.
Below is an optimized crystal structure of CrReCl2, with properties calculated at the PBE level.

energy relative to the elements, uncorrected	285	meV per atom

Cell and atoms, written as POSCAR:
```
CrReCl2
1.0
-7.092 -1.509 -1.605
-4.521 -5.891 0.021
4.698 5.001 2.840
Re Cr Cl
1 1 2
Direct
0.250 0.750 0.500
0.750 0.250 0.500
0.110 0.110 0.000
0.390 0.390 0.000
```

=====

10.
Below is an optimized crystal structure of CrReCl3, with properties calculated at the PBE level.

energy relative to the elements, uncorrected	535	meV per atom

Cell and atoms, written as POSCAR:
```
CrReCl3
1.0
-2.314 3.767 2.039
-3.193 0.028 -3.676
-2.856 -3.084 2.457
Cl Re Cr
3 1 1
Direct
0.500 0.000 0.000
0.000 0.000 0.500
0.000 0.500 0.000
0.000 0.000 0.000
0.500 0.500 0.500
```

=====

11.
Below is an optimized crystal structure of CrReCl2, with properties calculated at the PBE level.

energy relative to the elements, uncorrected	313	meV per atom

Cell and atoms, written as POSCAR:
```
CrReCl2
1.0
-4.158 4.367 3.215
-4.717 1.898 4.566
2.776 1.125 3.204
Re Cl Cr
1 2 1
Direct
0.250 0.250 0.250
0.386 0.386 0.546
0.114 0.114 0.954
0.750 0.750 0.750
```

=====

12.
Below is an optimized crystal structure of CrReCl2, with properties calculated at the PBE level.

energy relative to the elements, uncorrected	1285	meV per atom

Cell and atoms, written as POSCAR:
```
CrReCl2
1.0
1.425 0.491 3.980
1.433 3.793 1.294
-2.250 2.283 2.800
Re Cl Cr
1 2 1
Direct
0.500 0.500 0.500
0.250 0.250 0.250
0.750 0.750 0.750
0.000 0.000 0.000
```